(1)
Below is a relaxed structure of CaTe2Ir, with properties calculated at the GGA-PBE level.

## Properties
M_tot: 0.00 μB per atom
Energy: -4.57 eV/atom
Raw formation energy: -282 meV/atom
Space-group type: Cmmm (65)
Relative energy among the computed polymorphs: 117 kJ/mol of formula units
Fermi-level density of states: 1.83 states/eV/cell

Cell lengths 7.9590, 5.0559, 3.5042 Å; angles 90.01, 63.87, 129.38 degrees
With the nearest neighbours (Å) after each atom.
Positions (direct):
Te 0.0000 0.0000 0.0000  4 Ca 3.08, 4 Ir 3.08
Te 0.5000 0.0000 0.5000  4 Ir 3.08, 4 Ca 3.08
Ir 0.5000 0.5000 0.0000  8 Te 3.08
Ca 0.0000 0.5000 0.5000  8 Te 3.08

***

(2)
Below is a relaxed structure of ZnIn6Hg, with properties calculated at the GGA-PBE level.

## Properties
M_tot: 0.00 μB per atom
Energy: -2.20 eV/atom
Space-group type: P-1 (2)
ΔH_f (0 K): 0.052 eV per atom
Fermi-level density of states: 3.06 states/eV/cell

Cell lengths 5.3340, 6.5240, 8.2623 Å; angles 53.16, 71.19, 66.92 degrees
With the nearest neighbours (Å) after each atom.
Positions (direct):
In 0.2199 0.8864 0.6794  1 Zn 2.93, 1 In 3.10
In 0.7801 0.1136 0.3206  1 Zn 2.93, 1 In 3.10
In 0.6319 0.7625 0.9748  2 Zn 3.05-3.11, 5 In 3.08-3.34
In 0.1143 0.4659 0.3036  1 Zn 2.76
In 0.3681 0.2375 0.0252  2 Zn 3.05-3.11, 5 In 3.08-3.34
In 0.8857 0.5341 0.6964  1 Zn 2.76
Hg 0.5000 0.5000 0.5000  8 In 3.14-3.51
Zn 0.0000 0.0000 0.0000  6 In 2.76-3.05

***

(3)
Below is a relaxed structure of Re2Ru, with properties calculated at the GGA-PBE level.

## Properties
M_tot: 0.00 μB per atom
Energy: -11.29 eV/atom
Space-group type: P6_3/mmc (194)
Relative energy among the computed polymorphs: 47 kJ/mol of formula units
ΔH_f (0 K): 0.097 eV per atom
Fermi-level density of states: 4.99 states/eV/cell

Cell lengths 4.3339, 4.3339, 5.4494 Å; angles 90.00, 90.00, 120.00 degrees
With the nearest neighbours (Å) after each atom.
Positions (direct):
Re 0.0000 0.0000 0.5000  8 Re 2.72-2.85, 6 Ru 2.85
Re 0.0000 0.0000 0.0000  8 Re 2.72-2.85, 6 Ru 2.85
Re 0.3333 0.6667 0.2500  5 Ru 2.50-2.72
Re 0.6667 0.3333 0.7500  5 Ru 2.50-2.72
Ru 0.3333 0.6667 0.7500  5 Re 2.50-2.72
Ru 0.6667 0.3333 0.2500  5 Re 2.50-2.72

***

(4)
Below is a relaxed structure of CrMo2, with properties calculated at the GGA-PBE level.

## Properties
M_tot: 0.00 μB per atom
Energy: -9.90 eV/atom
Space-group type: I4_1/amd (141)
Relative energy among the computed polymorphs: 137 kJ/mol of formula units
ΔH_f (0 K): 0.525 eV per atom
Fermi-level density of states: 7.82 states/eV/cell

Cell lengths 11.4001, 11.4001, 11.4001 Å; angles 165.65, 165.65, 20.35 degrees
With the nearest neighbours (Å) after each atom.
Positions (direct):
Mo 0.4275 0.4275 0.0000  4 Cr 2.59, 6 Mo 2.75-2.85
Mo 0.3225 0.8225 0.5000  4 Cr 2.59, 6 Mo 2.75-2.85
Mo 0.5725 0.5725 0.0000  4 Cr 2.59, 6 Mo 2.75-2.85
Mo 0.1775 0.6775 0.5000  4 Cr 2.59, 6 Mo 2.75-2.85
Cr 0.0000 0.0000 0.0000  8 Mo 2.59, 4 Cr 2.85
Cr 0.7500 0.2500 0.5000  8 Mo 2.59, 4 Cr 2.85

***

(5)
Below is a relaxed structure of Ta2ZnPt9, with properties calculated at the GGA-PBE level.

## Properties
M_tot: 0.00 μB per atom
Energy: -7.25 eV/atom
Space-group type: P4/mmm (123)
ΔH_f (0 K): -0.639 eV per atom
Fermi-level density of states: 1.26 states/eV/cell

Cell lengths 3.9893, 3.9893, 11.8787 Å; angles 90.00, 90.00, 90.00 degrees
With the nearest neighbours (Å) after each atom.
Positions (direct):
Zn 0.0000 0.0000 0.0000  12 Pt 2.82-2.83
Pt 0.5000 0.0000 0.5000  8 Pt 2.80-2.82, 4 Ta 2.88
Pt 0.5000 0.0000 0.1696  2 Ta 2.72, 8 Pt 2.80-2.83, 2 Zn 2.83
Pt 0.5000 0.5000 0.0000  4 Zn 2.82, 8 Pt 2.83
Pt 0.0000 0.5000 0.8304  2 Ta 2.72, 8 Pt 2.80-2.83, 2 Zn 2.83
Pt 0.0000 0.5000 0.1696  2 Ta 2.72, 8 Pt 2.80-2.83, 2 Zn 2.83
Pt 0.5000 0.0000 0.8304  2 Ta 2.72, 8 Pt 2.80-2.83, 2 Zn 2.83
Pt 0.0000 0.5000 0.5000  8 Pt 2.80-2.82, 4 Ta 2.88
Pt 0.5000 0.5000 0.6651  8 Pt 2.80, 4 Ta 2.82
Pt 0.5000 0.5000 0.3349  8 Pt 2.80, 4 Ta 2.82
Ta 0.0000 0.0000 0.3249  12 Pt 2.72-2.88
Ta 0.0000 0.0000 0.6751  12 Pt 2.72-2.88